(1)
Na2SbRhC PBE optimized geometry; formation energy from raw total energies = 1.49 eV/atom; SG = No. 123; M_tot = 1.75 μB per formula unit
1.0
5.966 0.000 0.000
0.000 5.966 0.000
0.000 0.000 4.121
Na Sb Rh C
2 1 1 1
direct
0.000 0.500 0.000 Na
0.500 0.000 0.000 Na
0.000 0.000 0.000 Sb
0.500 0.500 0.500 Rh
0.000 0.000 0.500 C

=====

(2)
HoPa2H8 PBE optimized geometry; SG = No. 71; total DFT energy (no corrections) = -4.982 eV/atom; M_tot = 2.84 μB per formula unit
1.0
-1.920 2.395 5.820
1.920 -2.395 5.820
1.920 2.395 -5.820
Ho Pa H
1 2 8
direct
0.000 0.000 0.000 Ho
0.324 0.324 0.000 Pa
0.676 0.676 0.000 Pa
0.098 0.845 0.252 H
0.193 0.693 0.500 H
0.259 0.500 0.759 H
0.407 0.155 0.252 H
0.593 0.845 0.748 H
0.741 0.500 0.241 H
0.807 0.307 0.500 H
0.902 0.155 0.748 H

=====

(3)
Tb2ZnAu8 PBE optimized geometry; energy of formation = -515 meV per atom; SG = No. 12; M_tot = 0.00 μB per formula unit
1.0
7.397 -2.500 0.000
7.397 2.500 0.000
-3.011 0.000 5.963
Tb Zn Au
2 1 8
direct
0.201 0.201 0.200 Tb
0.799 0.799 0.800 Tb
0.500 0.500 0.500 Zn
0.000 0.000 0.234 Au
0.000 0.000 0.766 Au
0.174 0.174 0.674 Au
0.375 0.375 0.664 Au
0.376 0.376 0.087 Au
0.624 0.624 0.913 Au
0.625 0.625 0.336 Au
0.826 0.826 0.326 Au

=====

Question: Which formula does entry 2 have?
Answer: HoPa2H8